VASP calculation (PBE with a Hubbard U) on a geometry-optimized KPm2CoO4 structure. Values from VASP.

```
&SYSTEM
  ibrav = 0, nat = 16, ntyp = 4
/
ATOMIC_SPECIES
K 39.10 K.upf
Pm 145.00 Pm.upf
Co 58.93 Co.upf
O 16.00 O.upf
CELL_PARAMETERS angstrom
1.845 -6.266 0.000
1.845 6.266 0.000
0.000 0.000 11.819
ATOMIC_POSITIONS crystal
K 0.065 0.935 0.750
K 0.935 0.065 0.250
Pm 0.369 0.631 0.562
Pm 0.369 0.631 0.938
Pm 0.631 0.369 0.062
Pm 0.631 0.369 0.438
Co 0.232 0.768 0.250
Co 0.768 0.232 0.750
O 0.000 0.000 0.000
O 0.000 0.000 0.500
O 0.244 0.756 0.093
O 0.244 0.756 0.407
O 0.416 0.584 0.750
O 0.584 0.416 0.250
O 0.756 0.244 0.593
O 0.756 0.244 0.907
```

- DFT total energy (eV/f.u.) = -53.78
- calculated density (g/cm3) = 5.493
- space-group type = No. 63